1.
Material: ScCdPb2
Method: DFT, PBEsol
State: optimized geometry

Unit cell a=4.3051 b=4.3051 c=5.9807 alpha=111.09 beta=111.09 gamma=90.00
With the nearest neighbours (Å) after each atom.
Positions (direct):
Pb: 0.0000 0.0000 0.0000  4 Sc 3.04, 4 Cd 3.36, 4 Pb 3.36
Pb: 0.7500 0.2500 0.5000  4 Cd 3.04, 4 Pb 3.36, 4 Sc 3.36
Sc: 0.5000 0.5000 0.0000  8 Pb 3.04-3.36, 4 Cd 3.36
Cd: 0.2500 0.7500 0.5000  8 Pb 3.04-3.36, 4 Sc 3.36

Output
- Raw total energy: -4.156 eV/atom
- SG: No. 119
- Energy of formation from the pure elements: -0.206 eV/atom


2.
Material: TlHgO2
Method: DFT, PBEsol
State: optimized geometry

Unit cell a=3.4850 b=3.4850 c=6.9317 alpha=75.44 beta=75.44 gamma=60.00
With the nearest neighbours (Å) after each atom.
Positions (direct):
Tl: 0.5000 0.5000 0.5000  6 O 2.33
Hg: 0.0000 0.0000 0.0000  2 O 2.15
O: 0.8919 0.8919 0.3242  1 Hg 2.15, 3 Tl 2.33
O: 0.1081 0.1081 0.6758  1 Hg 2.15, 3 Tl 2.33

Output
- Raw total energy: -3.834 eV/atom
- Formation energy without anion corrections: -1.64 eV/f.u.
- SG: No. 166


3.
Material: GaSeSBr2
Method: DFT, PBEsol
State: optimized geometry

Unit cell a=4.8732 b=4.8732 c=5.2164 alpha=90.00 beta=90.00 gamma=90.00
With the nearest neighbours (Å) after each atom.
Positions (direct):
S: 0.5000 0.5000 0.5000  4 Se 3.45, 8 Br 3.57
Ga: 0.0000 0.0000 0.0000  4 Br 2.44, 2 Se 2.61
Se: 0.0000 0.0000 0.5000  2 Ga 2.61
Br: 0.0000 0.5000 0.0000  2 Ga 2.44
Br: 0.5000 0.0000 0.0000  2 Ga 2.44

Output
- Raw total energy: -2.678 eV/atom
- Formation energy without anion corrections: 1.92 eV/f.u.
- SG: No. 123


4.
Material: ZnInAu2
Method: DFT, PBEsol
State: optimized geometry

Unit cell a=3.5473 b=4.4861 c=4.9438 alpha=104.62 beta=111.02 gamma=90.00
With the nearest neighbours (Å) after each atom.
Positions (direct):
Zn: 0.2574 0.8032 0.5149  7 Au 2.71-2.97, 3 In 2.99-3.02
Au: 0.9922 0.9555 0.9845  3 Zn 2.71-2.74, 4 In 2.82-2.90, 3 Au 2.94-3.01
Au: 0.7516 0.2699 0.5031  3 In 2.72-2.84, 4 Zn 2.76-2.97, 3 Au 2.94-3.01
In: 0.4988 0.4715 0.9975  7 Au 2.72-2.90, 3 Zn 2.99-3.02

Output
- Raw total energy: -3.252 eV/atom
- SG: No. 8
- Energy of formation from the pure elements: -0.148 eV/atom


5.
Material: AlCoPt2
Method: DFT, PBEsol
State: optimized geometry

Unit cell a=2.7441 b=3.6751 c=5.3918 alpha=90.00 beta=90.00 gamma=90.00
With the nearest neighbours (Å) after each atom.
Positions (direct):
Co: 0.5000 0.5000 0.7623  6 Pt 2.54-2.76, 4 Al 2.70, 2 Co 2.74
Al: 0.0000 0.0000 0.4983  5 Pt 2.52-2.59, 4 Co 2.70, 2 Al 2.74
Pt: 0.0000 0.0000 0.9657  1 Al 2.52, 4 Co 2.54, 2 Pt 2.74
Pt: 0.5000 0.5000 0.2737  4 Al 2.59, 2 Co 2.63-2.76, 6 Pt 2.74-2.83

Output
- Raw total energy: -6.901 eV/atom
- SG: No. 25
- Energy of formation from the pure elements: -0.462 eV/atom


6.
Material: Zr2ScPt
Method: DFT, PBEsol
State: optimized geometry

Unit cell a=3.4810 b=4.6036 c=5.6453 alpha=114.06 beta=107.96 gamma=90.00
With the nearest neighbours (Å) after each atom.
Positions (direct):
Sc: 0.5000 0.0000 0.0000  4 Pt 2.89, 8 Zr 3.12-3.22
Zr: 0.7326 0.7326 0.4651  2 Pt 2.85, 4 Zr 2.91, 2 Sc 3.12
Zr: 0.2674 0.2674 0.5349  2 Pt 2.85, 4 Zr 2.91, 2 Sc 3.12
Pt: 0.0000 0.5000 0.0000  4 Zr 2.85, 4 Sc 2.89

Output
- Raw total energy: -8.516 eV/atom
- SG: No. 71
- Energy of formation from the pure elements: -0.579 eV/atom